[1]
Below is a relaxed structure of Ga3Pb, with properties calculated at the PBE level.

```
data_Ga3Pb
_chemical_formula_sum 'Ga3 Pb1'
_cell_length_a 3.7078
_cell_length_b 4.0941
_cell_length_c 6.1096
_cell_angle_alpha 90.00
_cell_angle_beta 90.00
_cell_angle_gamma 90.00
_space_group_name_H-M_alt 'P m m 2'
_space_group_IT_number 25
_space_group_name_Hall 'P 2 -2'
loop_
_atom_site_label
_atom_site_fract_x
_atom_site_fract_y
_atom_site_fract_z
Ga1 0.0000 0.0000 0.0000
Ga2 0.0000 0.5000 0.3124
Ga3 0.5000 0.0000 0.3499
Pb1 0.5000 0.5000 0.7460
```

The value obtained for the energy relative to the elements is 0.072 eV/atom.

[2]
Below is a relaxed structure of KLiMg2Rh, with properties calculated at the PBE level.

```
data_KLiMg2Rh
_chemical_formula_sum 'K1 Li1 Mg2 Rh1'
_cell_length_a 5.0858
_cell_length_b 5.0858
_cell_length_c 5.0908
_cell_angle_alpha 90.00
_cell_angle_beta 90.00
_cell_angle_gamma 90.00
_space_group_name_H-M_alt 'P 4/m m m'
_space_group_IT_number 123
_space_group_name_Hall '-P 4 2'
loop_
_atom_site_label
_atom_site_fract_x
_atom_site_fract_y
_atom_site_fract_z
K1 0.0000 0.0000 0.0000
Li1 0.5000 0.5000 0.0000
Mg1 0.0000 0.5000 0.5000
Rh1 0.5000 0.5000 0.5000
```

The value obtained for the energy relative to the elements is -0.036 eV/atom.

[3]
Below is a relaxed structure of KSi2Pb, with properties calculated at the PBE level.

```
data_KSi2Pb
_chemical_formula_sum 'K1 Si2 Pb1'
_cell_length_a 3.5514
_cell_length_b 3.5514
_cell_length_c 8.0827
_cell_angle_alpha 90.00
_cell_angle_beta 90.00
_cell_angle_gamma 90.00
_space_group_name_H-M_alt 'P 4 m m'
_space_group_IT_number 99
_space_group_name_Hall 'P 4 -2'
loop_
_atom_site_label
_atom_site_fract_x
_atom_site_fract_y
_atom_site_fract_z
K1 0.0000 0.0000 0.0000
Si1 0.0000 0.0000 0.5995
Si2 0.5000 0.5000 0.6953
Pb1 0.5000 0.5000 0.3551
```

The value obtained for the formation energy (no corrections) is 0.1884 eV/atom.

[4]
Below is a relaxed structure of La12Dy5Y2, with properties calculated at the PBE level.

```
data_La12Dy5Y2
_chemical_formula_sum 'La24 Dy10 Y4'
_cell_length_a 13.2613
_cell_length_b 11.7316
_cell_length_c 9.5771
_cell_angle_alpha 90.00
_cell_angle_beta 116.63
_cell_angle_gamma 90.00
_space_group_name_H-M_alt 'C 1 2/m 1'
_space_group_IT_number 12
_space_group_name_Hall '-C 2y'
loop_
_atom_site_label
_atom_site_fract_x
_atom_site_fract_y
_atom_site_fract_z
La1 0.0727 0.0000 0.2850
La2 0.1076 0.2168 0.9209
La3 0.1176 0.5000 0.4460
La4 0.1929 0.2576 0.3046
Dy1 0.0000 0.5000 0.0000
Dy2 0.1900 0.0000 0.7323
Dy3 0.1919 0.5000 0.8366
Y1 0.0000 0.2260 0.5000
```

The value obtained for the energy relative to the elements is 0.096 eV/atom.

[5]
Below is a relaxed structure of SrCrSe2, with properties calculated at the PBE level.

```
data_SrCrSe2
_chemical_formula_sum 'Sr1 Cr1 Se2'
_cell_length_a 4.1069
_cell_length_b 3.6900
_cell_length_c 7.0278
_cell_angle_alpha 90.00
_cell_angle_beta 90.16
_cell_angle_gamma 90.00
_space_group_name_H-M_alt 'P 1 2/m 1'
_space_group_IT_number 10
_space_group_name_Hall '-P 2y'
loop_
_atom_site_label
_atom_site_fract_x
_atom_site_fract_y
_atom_site_fract_z
Sr1 0.0000 0.0000 0.0000
Cr1 0.5000 0.0000 0.5000
Se1 0.4986 0.5000 0.7497
```

The value obtained for the formation energy (no corrections) is -1.0140 eV/atom.

[6]
Below is a relaxed structure of CdBi2Pd, with properties calculated at the PBE level.

```
data_CdBi2Pd
_chemical_formula_sum 'Cd3 Bi6 Pd3'
_cell_length_a 4.5276
_cell_length_b 4.5276
_cell_length_c 18.3097
_cell_angle_alpha 90.00
_cell_angle_beta 90.00
_cell_angle_gamma 120.00
_space_group_name_H-M_alt 'R 3 m'
_space_group_IT_number 160
_space_group_name_Hall 'R 3 -2"'
loop_
_atom_site_label
_atom_site_fract_x
_atom_site_fract_y
_atom_site_fract_z
Cd1 0.0000 0.0000 0.0000
Bi1 0.0000 0.0000 0.5664
Bi2 0.0000 0.0000 0.7661
Pd1 0.0000 0.0000 0.1606
```

The value obtained for the energy relative to the elements is -0.110 eV/atom.

[7]
Below is a relaxed structure of Li2BiPd4, with properties calculated at the PBE level.

```
data_Li2BiPd4
_chemical_formula_sum 'Li6 Bi3 Pd12'
_cell_length_a 4.5059
_cell_length_b 4.5059
_cell_length_c 19.0446
_cell_angle_alpha 90.00
_cell_angle_beta 90.00
_cell_angle_gamma 120.00
_space_group_name_H-M_alt 'R -3 m'
_space_group_IT_number 166
_space_group_name_Hall '-R 3 2"'
loop_
_atom_site_label
_atom_site_fract_x
_atom_site_fract_y
_atom_site_fract_z
Li1 0.0000 0.0000 0.2246
Bi1 0.0000 0.0000 0.5000
Pd1 0.0000 0.0000 0.0761
Pd2 0.0000 0.0000 0.3541
```

The value obtained for the energy relative to the elements is -0.301 eV/atom.

[8]
Below is a relaxed structure of NaGdPt4, with properties calculated at the PBE level.

```
data_NaGdPt4
_chemical_formula_sum 'Na4 Gd4 Pt16'
_cell_length_a 7.6494
_cell_length_b 7.6494
_cell_length_c 7.6494
_cell_angle_alpha 90.00
_cell_angle_beta 90.00
_cell_angle_gamma 90.00
_space_group_name_H-M_alt 'F -4 3 m'
_space_group_IT_number 216
_space_group_name_Hall 'F -4 2 3'
loop_
_atom_site_label
_atom_site_fract_x
_atom_site_fract_y
_atom_site_fract_z
Na1 0.0000 0.0000 0.0000
Gd1 0.2500 0.2500 0.2500
Pt1 0.1253 0.1253 0.6253
```

The value obtained for the energy relative to the elements is -0.820 eV/atom.

[9]
Below is a relaxed structure of Na2Nb4Au, with properties calculated at the PBE level.

```
data_Na2Nb4Au
_chemical_formula_sum 'Na4 Nb8 Au2'
_cell_length_a 5.0249
_cell_length_b 5.0249
_cell_length_c 15.6480
_cell_angle_alpha 90.00
_cell_angle_beta 90.00
_cell_angle_gamma 90.00
_space_group_name_H-M_alt 'I 4/m m m'
_space_group_IT_number 139
_space_group_name_Hall '-I 4 2'
loop_
_atom_site_label
_atom_site_fract_x
_atom_site_fract_y
_atom_site_fract_z
Na1 0.0000 0.0000 0.1335
Nb1 0.0000 0.0000 0.3329
Nb2 0.0000 0.5000 0.0000
Au1 0.0000 0.0000 0.5000
```

The value obtained for the energy relative to the elements is 1.822 eV/atom.

[10]
Below is a relaxed structure of Y2AlAs, with properties calculated at the PBE level.

```
data_Y2AlAs
_chemical_formula_sum 'Y6 Al3 As3'
_cell_length_a 3.8551
_cell_length_b 3.8551
_cell_length_c 24.7023
_cell_angle_alpha 90.00
_cell_angle_beta 90.00
_cell_angle_gamma 120.00
_space_group_name_H-M_alt 'R 3 m'
_space_group_IT_number 160
_space_group_name_Hall 'R 3 -2"'
loop_
_atom_site_label
_atom_site_fract_x
_atom_site_fract_y
_atom_site_fract_z
Y1 0.0000 0.0000 0.0000
Y2 0.0000 0.0000 0.2195
Al1 0.0000 0.0000 0.4588
As1 0.0000 0.0000 0.7452
```

The value obtained for the energy relative to the elements is -0.361 eV/atom.

[11]
Below is a relaxed structure of AlAs2S, with properties calculated at the PBE level.

```
data_AlAs2S
_chemical_formula_sum 'Al4 As8 S4'
_cell_length_a 5.3570
_cell_length_b 5.3570
_cell_length_c 13.4289
_cell_angle_alpha 90.00
_cell_angle_beta 90.00
_cell_angle_gamma 90.00
_space_group_name_H-M_alt 'I -4 2 d'
_space_group_IT_number 122
_space_group_name_Hall 'I -4 2bw'
loop_
_atom_site_label
_atom_site_fract_x
_atom_site_fract_y
_atom_site_fract_z
Al1 0.0000 0.0000 0.0000
As1 0.2438 0.2500 0.6250
S1 0.0000 0.0000 0.5000
```

The value obtained for the formation energy (no corrections) is 0.1801 eV/atom.

[12]
Below is a relaxed structure of CaRh2Au, with properties calculated at the PBE level.

```
data_CaRh2Au
_chemical_formula_sum 'Ca2 Rh4 Au2'
_cell_length_a 4.1433
_cell_length_b 4.1604
_cell_length_c 8.1791
_cell_angle_alpha 90.00
_cell_angle_beta 90.00
_cell_angle_gamma 90.00
_space_group_name_H-M_alt 'I m m 2'
_space_group_IT_number 44
_space_group_name_Hall 'I 2 -2'
loop_
_atom_site_label
_atom_site_fract_x
_atom_site_fract_y
_atom_site_fract_z
Ca1 0.0000 0.0000 0.0000
Rh1 0.0000 0.0000 0.4991
Rh2 0.0000 0.5000 0.7503
Au1 0.0000 0.5000 0.2495
```

The value obtained for the energy relative to the elements is -0.137 eV/atom.

[13]
Below is a relaxed structure of La7Ni2Ge2, with properties calculated at the PBE level.

```
data_La7Ni2Ge2
_chemical_formula_sum 'La14 Ni4 Ge4'
_cell_length_a 8.0153
_cell_length_b 11.4640
_cell_length_c 6.9498
_cell_angle_alpha 90.00
_cell_angle_beta 90.00
_cell_angle_gamma 90.00
_space_group_name_H-M_alt 'C m m m'
_space_group_IT_number 65
_space_group_name_Hall '-C 2 2'
loop_
_atom_site_label
_atom_site_fract_x
_atom_site_fract_y
_atom_site_fract_z
La1 0.0000 0.0000 0.0000
La2 0.0000 0.5000 0.2373
La3 0.2500 0.2500 0.2679
Ni1 0.0000 0.2798 0.0000
Ge1 0.1631 0.0000 0.5000
```

The value obtained for the energy relative to the elements is -0.304 eV/atom.

[14]
Below is a relaxed structure of YTl3O, with properties calculated at the PBE level.

```
data_YTl3O
_chemical_formula_sum 'Y1 Tl3 O1'
_cell_length_a 5.0183
_cell_length_b 5.0183
_cell_length_c 5.0183
_cell_angle_alpha 90.00
_cell_angle_beta 90.00
_cell_angle_gamma 90.00
_space_group_name_H-M_alt 'P m -3 m'
_space_group_IT_number 221
_space_group_name_Hall '-P 4 2 3'
loop_
_atom_site_label
_atom_site_fract_x
_atom_site_fract_y
_atom_site_fract_z
Y1 0.0000 0.0000 0.0000
Tl1 0.0000 0.5000 0.5000
O1 0.5000 0.5000 0.5000
```

The value obtained for the formation energy (no corrections) is -0.1605 eV/atom.

[15]
Below is a relaxed structure of BaSr4Rh, with properties calculated at the PBE level.

```
data_BaSr4Rh
_chemical_formula_sum 'Ba4 Sr16 Rh4'
_cell_length_a 10.3975
_cell_length_b 10.3975
_cell_length_c 10.3975
_cell_angle_alpha 90.00
_cell_angle_beta 90.00
_cell_angle_gamma 90.00
_space_group_name_H-M_alt 'F -4 3 m'
_space_group_IT_number 216
_space_group_name_Hall 'F -4 2 3'
loop_
_atom_site_label
_atom_site_fract_x
_atom_site_fract_y
_atom_site_fract_z
Ba1 0.0000 0.0000 0.0000
Sr1 0.1239 0.1239 0.3761
Rh1 0.2500 0.2500 0.7500
```

The value obtained for the energy relative to the elements is 0.654 eV/atom.

[16]
Below is a relaxed structure of YHoMnIr, with properties calculated at the PBE level.

```
data_YHoMnIr
_chemical_formula_sum 'Y4 Ho4 Mn4 Ir4'
_cell_length_a 6.9437
_cell_length_b 6.9437
_cell_length_c 6.9437
_cell_angle_alpha 90.00
_cell_angle_beta 90.00
_cell_angle_gamma 90.00
_space_group_name_H-M_alt 'F -4 3 m'
_space_group_IT_number 216
_space_group_name_Hall 'F -4 2 3'
loop_
_atom_site_label
_atom_site_fract_x
_atom_site_fract_y
_atom_site_fract_z
Y1 0.0000 0.0000 0.0000
Ho1 0.0000 0.0000 0.5000
Mn1 0.2500 0.2500 0.2500
Ir1 0.2500 0.2500 0.7500
```

The value obtained for the energy relative to the elements is -0.303 eV/atom.

[17]
Below is a relaxed structure of Sc3CoPt, with properties calculated at the PBE level.

```
data_Sc3CoPt
_chemical_formula_sum 'Sc3 Co1 Pt1'
_cell_length_a 4.6849
_cell_length_b 4.6849
_cell_length_c 4.6849
_cell_angle_alpha 90.00
_cell_angle_beta 90.00
_cell_angle_gamma 90.00
_space_group_name_H-M_alt 'P m -3 m'
_space_group_IT_number 221
_space_group_name_Hall '-P 4 2 3'
loop_
_atom_site_label
_atom_site_fract_x
_atom_site_fract_y
_atom_site_fract_z
Sc1 0.0000 0.0000 0.5000
Co1 0.0000 0.0000 0.0000
Pt1 0.5000 0.5000 0.5000
```

The value obtained for the energy relative to the elements is -0.258 eV/atom.

[18]
Below is a relaxed structure of BePtCl2, with properties calculated at the PBE level.

```
data_BePtCl2
_chemical_formula_sum 'Be4 Pt4 Cl8'
_cell_length_a 6.3556
_cell_length_b 6.3556
_cell_length_c 6.3556
_cell_angle_alpha 90.00
_cell_angle_beta 90.00
_cell_angle_gamma 90.00
_space_group_name_H-M_alt 'F -4 3 m'
_space_group_IT_number 216
_space_group_name_Hall 'F -4 2 3'
loop_
_atom_site_label
_atom_site_fract_x
_atom_site_fract_y
_atom_site_fract_z
Be1 0.0000 0.0000 0.0000
Pt1 0.2500 0.2500 0.7500
Cl1 0.0000 0.0000 0.5000
Cl2 0.2500 0.2500 0.2500
```

The value obtained for the formation energy (no corrections) is 0.6369 eV/atom.

[19]
Below is a relaxed structure of Zr2InCoC, with properties calculated at the PBE level.

```
data_Zr2InCoC
_chemical_formula_sum 'Zr2 In1 Co1 C1'
_cell_length_a 4.6278
_cell_length_b 4.6278
_cell_length_c 3.8704
_cell_angle_alpha 90.00
_cell_angle_beta 90.00
_cell_angle_gamma 90.00
_space_group_name_H-M_alt 'P 4/m m m'
_space_group_IT_number 123
_space_group_name_Hall '-P 4 2'
loop_
_atom_site_label
_atom_site_fract_x
_atom_site_fract_y
_atom_site_fract_z
Zr1 0.0000 0.5000 0.0000
In1 0.0000 0.0000 0.5000
Co1 0.5000 0.5000 0.5000
C1 0.5000 0.5000 0.0000
```

The value obtained for the energy relative to the elements is -0.312 eV/atom.

[20]
Below is a relaxed structure of Er5IrPb2, with properties calculated at the PBE level.

```
data_Er5IrPb2
_chemical_formula_sum 'Er10 Ir2 Pb4'
_cell_length_a 7.9750
_cell_length_b 12.1946
_cell_length_c 4.5242
_cell_angle_alpha 90.00
_cell_angle_beta 90.00
_cell_angle_gamma 90.00
_space_group_name_H-M_alt 'P b a m'
_space_group_IT_number 55
_space_group_name_Hall '-P 2 2ab'
loop_
_atom_site_label
_atom_site_fract_x
_atom_site_fract_y
_atom_site_fract_z
Er1 0.0000 0.0000 0.0000
Er2 0.1425 0.3007 0.0000
Er3 0.1831 0.5680 0.5000
Ir1 0.0000 0.5000 0.0000
Pb1 0.0699 0.8270 0.5000
```

The value obtained for the energy relative to the elements is -0.604 eV/atom.

no.,electronic total energy (eV per atom),ρ (g/cm³)
1,-3.13,7.45
2,-2.75,2.49
3,-3.72,4.93
4,-4.91,6.63
5,-5.58,4.64
6,-3.58,9.76
7,-4.37,9.65
8,-7.41,14.25
9,-4.78,5.17
10,-5.69,4.38
11,-4.11,3.60
12,-5.13,10.43
13,-5.33,6.42
14,-3.86,9.43
15,-2.01,3.49
16,-7.57,9.94
17,-6.69,6.28
18,-2.73,7.12
19,-7.54,7.38
20,-5.49,10.89